Compound: MgSb2TePb
Source: the Alexandria database
Functional: SCAN
Structure: PBEsol geometry

Cell: 5.648 5.648 5.846 Å, 90.00 90.00 90.00°
Atoms (fractional coordinates):
Pb1 0.000 0.000 0.000
Sb1 0.000 0.500 0.000
Sb2 0.500 0.000 0.000
Mg1 0.500 0.500 0.500
Te1 0.000 0.000 0.500

- formation energy (no corrections) (eV/f.u.) = 3.9
- space group = P4/mmm

Compound: CrSi3Br
Source: the Alexandria database
Functional: SCAN
Structure: PBEsol geometry

Cell: 4.842 4.842 4.842 Å, 90.00 90.00 90.00°
Atoms (fractional coordinates):
Cr1 0.500 0.500 0.500
Si1 0.000 0.500 0.000
Si2 0.000 0.000 0.500
Si3 0.500 0.000 0.000
Br1 0.000 0.000 0.000

- formation energy (no corrections) (eV/f.u.) = 8.2
- space group = Pm-3m

Compound: MoIr2Cl
Source: the Alexandria database
Functional: SCAN
Structure: PBEsol geometry

Cell: 2.761 2.761 8.333 Å, 90.00 90.00 90.00°
Atoms (fractional coordinates):
Mo1 0.000 0.000 0.495
Ir1 0.000 0.000 0.045
Ir2 0.500 0.500 0.275
Cl1 0.500 0.500 0.685

- formation energy (no corrections) (eV/f.u.) = 1.2
- space group = P4mm

Compound: LiZn2Re
Source: the Alexandria database
Functional: SCAN
Structure: PBEsol geometry

Cell: 2.694 4.404 5.062 Å, 115.78 105.43 90.00°
Atoms (fractional coordinates):
Li1 0.500 0.000 0.000
Re1 0.000 0.500 0.000
Zn1 0.765 0.765 0.531
Zn2 0.235 0.235 0.469

- space group = Immm
- energy relative to the elements (eV per atom) = 0.260

Values for volume, Å³/cell, ordered as above
186.5; 113.5; 63.5; 51.7